No. 1
Crystalline AgRuCl2 at its relaxed geometry. Source: Alexandria via LeMat-Bulk, functional GGA-PBE.

Cell and atoms, written as POSCAR:
```
AgRuCl2
1.0
3.057 0.000 0.000
0.000 5.465 0.000
0.000 0.000 9.473
Ag Ru Cl
2 2 4
direct
0.000 0.000 0.000
0.500 0.500 0.000
0.000 0.500 0.244
0.500 0.000 0.244
0.000 0.000 0.428
0.000 0.500 0.784
0.500 0.000 0.784
0.500 0.500 0.428
```

Summary:
- Electronic total energy: -3.6533 eV per atom
- Formation energy from raw total energies: 0.30 eV/atom

=====

No. 2
Crystalline AgRuCl2 at its relaxed geometry. Source: Alexandria via LeMat-Bulk, functional GGA-PBE.

Cell and atoms, written as POSCAR:
```
AgRuCl2
1.0
3.433 0.000 0.000
0.000 3.734 0.000
-1.345 0.000 5.882
Ag Ru Cl
1 1 2
direct
0.000 0.000 0.000
0.000 0.000 0.500
0.301 0.500 0.722
0.699 0.500 0.278
```

Summary:
- Electronic total energy: -3.7088 eV per atom
- Formation energy from raw total energies: 0.25 eV/atom

=====

No. 3
Crystalline AgRu2Cl at its relaxed geometry. Source: Alexandria via LeMat-Bulk, functional GGA-PBE.

Cell and atoms, written as POSCAR:
```
AgRu2Cl
1.0
2.864 0.000 0.000
-1.432 2.480 0.000
0.000 0.000 25.661
Ag Ru Cl
3 6 3
direct
0.000 0.000 0.000
0.333 0.667 0.667
0.667 0.333 0.333
0.000 0.000 0.243
0.000 0.000 0.757
0.333 0.667 0.424
0.333 0.667 0.909
0.667 0.333 0.091
0.667 0.333 0.576
0.000 0.000 0.500
0.333 0.667 0.167
0.667 0.333 0.833
```

Summary:
- Electronic total energy: -5.1569 eV per atom
- Formation energy from raw total energies: 0.66 eV/atom

=====

No. 4
Crystalline AgRuCl2 at its relaxed geometry. Source: Alexandria via LeMat-Bulk, functional GGA-PBE.

Cell and atoms, written as POSCAR:
```
AgRuCl2
1.0
13.468 0.000 0.000
0.000 3.326 0.000
-0.579 0.000 4.014
Ag Ru Cl
2 2 4
direct
0.000 0.000 0.000
0.500 0.500 0.000
0.152 0.500 0.347
0.652 0.000 0.347
0.213 0.000 0.861
0.461 0.000 0.495
0.713 0.500 0.861
0.961 0.500 0.495
```

Summary:
- Electronic total energy: -3.6181 eV per atom
- Formation energy from raw total energies: 0.34 eV/atom

=====

No. 5
Crystalline AgRuCl4 at its relaxed geometry. Source: Alexandria via LeMat-Bulk, functional GGA-PBE.

Cell and atoms, written as POSCAR:
```
AgRuCl4
1.0
0.000 4.123 4.123
4.123 0.000 4.123
4.123 4.123 0.000
Ag Ru Cl
1 1 4
direct
0.000 0.000 0.000
0.250 0.250 0.250
0.126 0.625 0.625
0.625 0.126 0.625
0.625 0.625 0.126
0.625 0.625 0.625
```

Summary:
- Electronic total energy: -2.1726 eV per atom
- Formation energy from raw total energies: 1.08 eV/atom

=====

No. 6
Crystalline AgRu2Cl8 at its relaxed geometry. Source: Alexandria via LeMat-Bulk, functional GGA-PBE.

Cell and atoms, written as POSCAR:
```
AgRu2Cl8
1.0
4.853 0.000 0.000
0.000 8.186 0.000
0.001 4.085 7.102
Ag Ru Cl
1 2 8
direct
0.000 0.000 0.000
0.239 0.667 0.667
0.761 0.333 0.333
0.255 0.333 0.333
0.256 0.344 0.829
0.256 0.827 0.344
0.256 0.829 0.827
0.744 0.171 0.173
0.744 0.173 0.656
0.744 0.656 0.171
0.745 0.667 0.667
```

Summary:
- Electronic total energy: -3.4706 eV per atom
- Formation energy from raw total energies: -0.18 eV/atom

=====

No. 7
Crystalline AgRu2Cl at its relaxed geometry. Source: Alexandria via LeMat-Bulk, functional GGA-PBE.

Cell and atoms, written as POSCAR:
```
AgRu2Cl
1.0
2.865 0.000 0.000
0.000 4.168 0.000
0.000 0.000 5.637
Ag Ru Cl
1 2 1
direct
0.000 0.000 0.000
0.500 0.500 0.244
0.500 0.500 0.756
0.000 0.000 0.500
```

Summary:
- Electronic total energy: -4.8082 eV per atom
- Formation energy from raw total energies: 1.00 eV/atom

=====

No. 8
Crystalline AgRu2Cl at its relaxed geometry. Source: Alexandria via LeMat-Bulk, functional GGA-PBE.

Cell and atoms, written as POSCAR:
```
AgRu2Cl
1.0
2.904 0.000 0.000
0.000 2.893 0.000
-0.098 0.000 8.154
Ag Ru Cl
1 2 1
direct
0.000 0.000 0.000
0.016 0.000 0.444
0.509 0.500 0.254
0.024 0.500 0.685
```

Summary:
- Electronic total energy: -5.5826 eV per atom
- Formation energy from raw total energies: 0.23 eV/atom

=====

No. 9
Crystalline AgRu2Cl at its relaxed geometry. Source: Alexandria via LeMat-Bulk, functional GGA-PBE.

Cell and atoms, written as POSCAR:
```
AgRu2Cl
1.0
5.543 0.000 0.000
0.000 9.616 0.000
-1.435 0.000 2.448
Ag Ru Cl
2 4 2
direct
0.000 0.000 0.000
0.500 0.500 0.000
0.250 0.250 0.500
0.250 0.750 0.500
0.750 0.250 0.500
0.750 0.750 0.500
0.000 0.500 0.000
0.500 0.000 0.000
```

Summary:
- Electronic total energy: -4.8866 eV per atom
- Formation energy from raw total energies: 0.93 eV/atom

=====

No. 10
Crystalline AgRu2Cl at its relaxed geometry. Source: Alexandria via LeMat-Bulk, functional GGA-PBE.

Cell and atoms, written as POSCAR:
```
AgRu2Cl
1.0
3.517 0.000 0.000
0.000 3.517 0.000
0.000 0.000 6.746
Ag Ru Cl
1 2 1
direct
0.000 0.000 0.000
0.000 0.500 0.500
0.500 0.000 0.500
0.500 0.500 0.000
```

Summary:
- Electronic total energy: -4.7810 eV per atom
- Formation energy from raw total energies: 1.03 eV/atom

=====

No. 11
Crystalline AgRu2Cl at its relaxed geometry. Source: Alexandria via LeMat-Bulk, functional GGA-PBE.

Cell and atoms, written as POSCAR:
```
AgRu2Cl
1.0
5.652 0.000 0.000
0.000 8.264 0.000
0.000 0.000 2.807
Ag Ru Cl
2 4 2
direct
0.000 0.000 0.000
0.500 0.500 0.000
0.250 0.250 0.500
0.250 0.750 0.500
0.750 0.250 0.500
0.750 0.750 0.500
0.000 0.500 0.000
0.500 0.000 0.000
```

Summary:
- Electronic total energy: -4.7759 eV per atom
- Formation energy from raw total energies: 1.04 eV/atom

=====

No. 12
Crystalline AgRuCl2 at its relaxed geometry. Source: Alexandria via LeMat-Bulk, functional GGA-PBE.

Cell and atoms, written as POSCAR:
```
AgRuCl2
1.0
3.260 0.000 0.000
-1.630 2.824 0.000
0.000 0.000 25.586
Ag Ru Cl
3 3 6
direct
0.000 0.000 0.000
0.333 0.667 0.667
0.667 0.333 0.333
0.000 0.000 0.500
0.333 0.667 0.167
0.667 0.333 0.833
0.000 0.000 0.410
0.000 0.000 0.590
0.333 0.667 0.077
0.333 0.667 0.256
0.667 0.333 0.744
0.667 0.333 0.923
```

Summary:
- Electronic total energy: -3.6822 eV per atom
- Formation energy from raw total energies: 0.27 eV/atom